Entry 1:
{"formula": "Li2BeIr", "functional": "PBEsol", "state": "relaxed", "dos_at_fermi_per_ev_cell": 2.287, "total_magnetization_mub_per_atom": 0.0007, "spacegroup": "P4/mmm (123)", "e_form_mev_per_atom": -159, "e_tot_ev_per_atom": -4.60, "lattice_angstrom": [[3.260, 0.000, 0.000], [0.000, 3.260, 0.000], [0.000, 0.000, 4.214]], "species": ["Li", "Li", "Be", "Ir"], "frac_coords": [[0.000, 0.500, 0.000], [0.500, 0.000, 0.000], [0.000, 0.000, 0.500], [0.500, 0.500, 0.500]]}



Entry 2:
{"formula": "SrYTl2", "functional": "PBEsol", "state": "relaxed", "dos_at_fermi_per_ev_cell": 2.777, "total_magnetization_mub_per_atom": 0.0000, "spacegroup": "Pmm2 (25)", "e_form_mev_per_atom": -412, "e_tot_ev_per_atom": -3.89, "lattice_angstrom": [[3.791, 0.000, 0.000], [0.000, 5.506, 0.000], [0.000, 0.000, 5.507]], "species": ["Sr", "Y", "Tl", "Tl"], "frac_coords": [[0.000, 0.000, 0.000], [0.000, 0.500, 0.498], [0.500, 0.000, 0.500], [0.500, 0.500, 0.997]]}



Entry 3:
{"formula": "OsRuRh2", "functional": "PBEsol", "state": "relaxed", "dos_at_fermi_per_ev_cell": 3.909, "total_magnetization_mub_per_atom": 0.0000, "spacegroup": "P4/mmm (123)", "e_form_mev_per_atom": 80, "e_tot_ev_per_atom": -9.59, "relative_energy_mev_per_atom": 46, "lattice_angstrom": [[2.658, 0.000, 0.000], [0.000, 2.658, 0.000], [0.000, 0.000, 7.660]], "species": ["Os", "Ru", "Rh", "Rh"], "frac_coords": [[0.000, 0.000, 0.000], [0.000, 0.000, 0.500], [0.500, 0.500, 0.250], [0.500, 0.500, 0.750]]}



Entry 4:
{"formula": "MgTlZn", "functional": "PBEsol", "state": "relaxed", "dos_at_fermi_per_ev_cell": 1.157, "total_magnetization_mub_per_atom": 0.0000, "spacegroup": "F-43m (216)", "e_form_mev_per_atom": 217, "e_tot_ev_per_atom": -1.76, "lattice_angstrom": [[0.000, 3.288, 3.288], [3.288, 0.000, 3.288], [3.288, 3.288, 0.000]], "species": ["Mg", "Tl", "Zn"], "frac_coords": [[0.000, 0.000, 0.000], [0.750, 0.750, 0.750], [0.250, 0.250, 0.250]]}



Entry 5:
{"formula": "AgAuO2", "functional": "PBEsol", "state": "relaxed", "total_magnetization_mub_per_atom": 0.0000, "spacegroup": "P2_1/c (14)", "e_tot_ev_per_atom": -4.56, "lattice_angstrom": [[5.584, 0.000, 0.000], [0.000, 3.883, 0.000], [-1.471, 0.000, 5.241]], "species": ["Ag", "Ag", "Au", "Au", "O", "O", "O", "O"], "frac_coords": [[0.000, 0.000, 0.000], [0.000, 0.500, 0.500], [0.500, 0.000, 0.500], [0.500, 0.500, 0.000], [0.299, 0.202, 0.719], [0.299, 0.298, 0.219], [0.701, 0.702, 0.781], [0.701, 0.798, 0.281]]}



Entry 6:
{"formula": "Dy11Sn10", "functional": "PBEsol", "state": "relaxed", "dos_at_fermi_per_ev_cell": 25.636, "total_magnetization_mub_per_atom": 0.0000, "spacegroup": "I4/mmm (139)", "e_form_mev_per_atom": -790, "e_tot_ev_per_atom": -5.43, "lattice_angstrom": [[-5.731, 5.731, 8.376], [5.731, -5.731, 8.376], [5.731, 5.731, -8.376]], "species": ["Dy", "Dy", "Dy", "Dy", "Dy", "Dy", "Dy", "Dy", "Dy", "Dy", "Dy", "Dy", "Dy", "Dy", "Dy", "Dy", "Dy", "Dy", "Dy", "Dy", "Dy", "Dy", "Sn", "Sn", "Sn", "Sn", "Sn", "Sn", "Sn", "Sn", "Sn", "Sn", "Sn", "Sn", "Sn", "Sn", "Sn", "Sn", "Sn", "Sn", "Sn", "Sn"], "frac_coords": [[0.060, 0.311, 0.749], [0.102, 0.434, 0.331], [0.102, 0.771, 0.669], [0.168, 0.168, 0.000], [0.229, 0.898, 0.331], [0.311, 0.060, 0.749], [0.311, 0.563, 0.251], [0.326, 0.326, 0.653], [0.326, 0.674, 0.000], [0.434, 0.102, 0.331], [0.437, 0.689, 0.749], [0.563, 0.311, 0.251], [0.566, 0.898, 0.669], [0.674, 0.326, 0.000], [0.674, 0.674, 0.347], [0.689, 0.437, 0.749], [0.689, 0.940, 0.251], [0.771, 0.102, 0.669], [0.832, 0.832, 0.000], [0.898, 0.229, 0.331], [0.898, 0.566, 0.669], [0.940, 0.689, 0.251], [0.030, 0.030, 0.412], [0.030, 0.619, 0.000], [0.130, 0.130, 0.260], [0.130, 0.870, 0.000], [0.144, 0.500, 0.644], [0.250, 0.750, 0.500], [0.381, 0.381, 0.412], [0.381, 0.970, 0.000], [0.389, 0.389, 0.000], [0.500, 0.144, 0.644], [0.500, 0.856, 0.356], [0.611, 0.611, 0.000], [0.619, 0.030, 0.000], [0.619, 0.619, 0.588], [0.750, 0.250, 0.500], [0.856, 0.500, 0.356], [0.870, 0.130, 0.000], [0.870, 0.870, 0.740], [0.970, 0.381, 0.000], [0.970, 0.970, 0.588]]}



Entry 7:
{"formula": "LaWAu", "functional": "PBEsol", "state": "relaxed", "dos_at_fermi_per_ev_cell": 2.465, "total_magnetization_mub_per_atom": 0.9305, "spacegroup": "F-43m (216)", "e_form_mev_per_atom": 1439, "e_tot_ev_per_atom": -6.25, "lattice_angstrom": [[0.000, 3.380, 3.380], [3.380, 0.000, 3.380], [3.380, 3.380, 0.000]], "species": ["La", "W", "Au"], "frac_coords": [[0.000, 0.000, 0.000], [0.250, 0.250, 0.250], [0.750, 0.750, 0.750]]}



Entry 8:
{"formula": "LiLa5Ti8O24", "functional": "PBEsol", "state": "relaxed", "dos_at_fermi_per_ev_cell": 0.000, "total_magnetization_mub_per_atom": 0.0000, "spacegroup": "Pm (6)", "e_tot_ev_per_atom": -9.05, "relative_energy_mev_per_atom": 20, "lattice_angstrom": [[7.701, 0.000, 0.000], [0.000, 7.699, 0.000], [-0.006, 0.000, 7.793]], "species": ["Li", "La", "La", "La", "La", "La", "Ti", "Ti", "Ti", "Ti", "Ti", "Ti", "Ti", "Ti", "O", "O", "O", "O", "O", "O", "O", "O", "O", "O", "O", "O", "O", "O", "O", "O", "O", "O", "O", "O", "O", "O", "O", "O"], "frac_coords": [[0.000, 0.000, 0.000], [0.296, 0.000, 0.505], [0.301, 0.500, 0.992], [0.775, 0.500, 0.484], [0.795, 0.000, 0.488], [0.795, 0.500, 0.985], [0.049, 0.250, 0.744], [0.049, 0.750, 0.744], [0.054, 0.252, 0.245], [0.054, 0.748, 0.245], [0.541, 0.247, 0.743], [0.541, 0.753, 0.743], [0.544, 0.244, 0.234], [0.544, 0.756, 0.234], [0.007, 0.000, 0.751], [0.033, 0.262, 0.999], [0.033, 0.738, 0.999], [0.046, 0.228, 0.499], [0.046, 0.772, 0.499], [0.069, 0.000, 0.248], [0.075, 0.500, 0.763], [0.294, 0.286, 0.236], [0.294, 0.714, 0.236], [0.295, 0.216, 0.749], [0.295, 0.784, 0.749], [0.514, 0.000, 0.280], [0.519, 0.500, 0.763], [0.548, 0.256, 0.498], [0.548, 0.744, 0.498], [0.554, 0.265, 0.996], [0.554, 0.735, 0.996], [0.575, 0.000, 0.718], [0.584, 0.500, 0.237], [0.793, 0.227, 0.267], [0.793, 0.773, 0.267], [0.796, 0.296, 0.732], [0.796, 0.704, 0.732], [0.999, 0.500, 0.250]]}



Entry 9:
{"formula": "K4Be3O5", "functional": "PBEsol", "state": "relaxed", "dos_at_fermi_per_ev_cell": 0.000, "total_magnetization_mub_per_atom": 0.0003, "spacegroup": "C2/c (15)", "e_tot_ev_per_atom": -5.59, "lattice_angstrom": [[5.125, -3.615, 0.000], [5.125, 3.615, 0.000], [-5.063, 0.000, 9.446]], "species": ["K", "K", "K", "K", "K", "K", "K", "K", "Be", "Be", "Be", "Be", "Be", "Be", "O", "O", "O", "O", "O", "O", "O", "O", "O", "O"], "frac_coords": [[0.057, 0.276, 0.095], [0.247, 0.409, 0.423], [0.276, 0.057, 0.595], [0.409, 0.247, 0.923], [0.591, 0.753, 0.077], [0.724, 0.943, 0.405], [0.753, 0.591, 0.577], [0.943, 0.724, 0.905], [0.191, 0.809, 0.250], [0.231, 0.769, 0.750], [0.481, 0.519, 0.250], [0.519, 0.481, 0.750], [0.769, 0.231, 0.250], [0.809, 0.191, 0.750], [0.020, 0.980, 0.750], [0.232, 0.511, 0.733], [0.273, 0.622, 0.121], [0.378, 0.727, 0.379], [0.489, 0.768, 0.767], [0.511, 0.232, 0.233], [0.622, 0.273, 0.621], [0.727, 0.378, 0.879], [0.768, 0.489, 0.267], [0.980, 0.020, 0.250]]}



Entry 10:
{"formula": "ZnBr", "functional": "PBEsol", "state": "relaxed", "dos_at_fermi_per_ev_cell": 2.041, "total_magnetization_mub_per_atom": 0.0000, "spacegroup": "R-3m (166)", "e_tot_ev_per_atom": -1.67, "lattice_angstrom": [[2.158, 1.246, 5.966], [-2.158, 1.246, 5.966], [0.000, -2.492, 5.966]], "species": ["Zn", "Zn", "Br", "Br"], "frac_coords": [[0.167, 0.167, 0.167], [0.833, 0.833, 0.833], [0.403, 0.403, 0.403], [0.597, 0.597, 0.597]]}



Entry 11:
{"formula": "La2ZnNi", "functional": "PBEsol", "state": "relaxed", "dos_at_fermi_per_ev_cell": 4.443, "total_magnetization_mub_per_atom": 0.0000, "spacegroup": "P4mm (99)", "e_form_mev_per_atom": -84, "e_tot_ev_per_atom": -4.69, "lattice_angstrom": [[3.310, 0.000, 0.000], [0.000, 3.310, 0.000], [0.000, 0.000, 8.335]], "species": ["La", "La", "Zn", "Ni"], "frac_coords": [[0.000, 0.000, 0.000], [0.500, 0.500, 0.400], [0.000, 0.000, 0.648], [0.500, 0.500, 0.776]]}



Entry 12:
{"formula": "BaTi3Cu", "functional": "PBEsol", "state": "relaxed", "dos_at_fermi_per_ev_cell": 6.527, "total_magnetization_mub_per_atom": 0.0000, "spacegroup": "Pm-3m (221)", "e_form_mev_per_atom": 731, "e_tot_ev_per_atom": -5.56, "relative_energy_mev_per_atom": 0, "lattice_angstrom": [[4.786, 0.000, 0.000], [0.000, 4.786, 0.000], [0.000, 0.000, 4.786]], "species": ["Ba", "Ti", "Ti", "Ti", "Cu"], "frac_coords": [[0.000, 0.000, 0.000], [0.000, 0.500, 0.500], [0.500, 0.000, 0.500], [0.500, 0.500, 0.000], [0.500, 0.500, 0.500]]}



Entry 13:
{"formula": "SbRhBr2", "functional": "PBEsol", "state": "relaxed", "total_magnetization_mub_per_atom": 0.0000, "spacegroup": "P4mm (99)", "e_tot_ev_per_atom": -4.19, "relative_energy_mev_per_atom": 339, "lattice_angstrom": [[3.673, 0.000, 0.000], [0.000, 3.673, 0.000], [0.000, 0.000, 7.231]], "species": ["Sb", "Rh", "Br", "Br"], "frac_coords": [[0.000, 0.000, 0.000], [0.500, 0.500, 0.885], [0.000, 0.000, 0.630], [0.500, 0.500, 0.244]]}



Entry 14:
{"formula": "AlW2Se", "functional": "PBEsol", "state": "relaxed", "dos_at_fermi_per_ev_cell": 2.869, "total_magnetization_mub_per_atom": 0.0001, "spacegroup": "Imm2 (44)", "e_tot_ev_per_atom": -8.50, "relative_energy_mev_per_atom": 257, "lattice_angstrom": [[-1.628, 2.267, 4.268], [1.628, -2.267, 4.268], [1.628, 2.267, -4.268]], "species": ["Al", "W", "W", "Se"], "frac_coords": [[0.000, 0.000, 0.000], [0.504, 0.504, 0.000], [0.749, 0.249, 0.500], [0.265, 0.765, 0.500]]}



Entry 15:
{"formula": "ZrBTeI2", "functional": "PBEsol", "state": "relaxed", "dos_at_fermi_per_ev_cell": 4.156, "total_magnetization_mub_per_atom": 0.1186, "spacegroup": "P4/mmm (123)", "e_tot_ev_per_atom": -3.93, "lattice_angstrom": [[5.630, 0.000, 0.000], [0.000, 5.630, 0.000], [0.000, 0.000, 5.547]], "species": ["Zr", "B", "Te", "I", "I"], "frac_coords": [[0.000, 0.000, 0.000], [0.500, 0.500, 0.500], [0.000, 0.000, 0.500], [0.000, 0.500, 0.000], [0.500, 0.000, 0.000]]}



Entry 16:
{"formula": "ZrScCu2", "functional": "PBEsol", "state": "relaxed", "dos_at_fermi_per_ev_cell": 3.533, "total_magnetization_mub_per_atom": 0.0002, "spacegroup": "P4mm (99)", "e_form_mev_per_atom": -120, "e_tot_ev_per_atom": -6.21, "relative_energy_mev_per_atom": 59, "lattice_angstrom": [[3.237, 0.000, 0.000], [0.000, 3.237, 0.000], [0.000, 0.000, 6.367]], "species": ["Zr", "Sc", "Cu", "Cu"], "frac_coords": [[0.000, 0.000, 0.000], [0.500, 0.500, 0.676], [0.000, 0.000, 0.434], [0.500, 0.500, 0.247]]}



Entry 17:
{"formula": "Sr4Ti3Nb2O15", "functional": "PBEsol", "state": "relaxed", "dos_at_fermi_per_ev_cell": 0.000, "total_magnetization_mub_per_atom": 0.0000, "spacegroup": "R-3m (166)", "e_tot_ev_per_atom": -8.54, "lattice_angstrom": [[2.777, 1.603, 11.384], [-2.777, 1.603, 11.384], [0.000, -3.206, 11.384]], "species": ["Sr", "Sr", "Sr", "Sr", "Ti", "Ti", "Ti", "Nb", "Nb", "O", "O", "O", "O", "O", "O", "O", "O", "O", "O", "O", "O", "O", "O", "O"], "frac_coords": [[0.098, 0.098, 0.098], [0.301, 0.301, 0.301], [0.699, 0.699, 0.699], [0.902, 0.902, 0.902], [0.000, 0.000, 0.000], [0.399, 0.399, 0.399], [0.601, 0.601, 0.601], [0.200, 0.200, 0.200], [0.800, 0.800, 0.800], [0.000, 0.000, 0.500], [0.000, 0.500, 0.000], [0.092, 0.600, 0.600], [0.199, 0.199, 0.700], [0.199, 0.700, 0.199], [0.300, 0.801, 0.801], [0.400, 0.400, 0.908], [0.400, 0.908, 0.400], [0.500, 0.000, 0.000], [0.600, 0.092, 0.600], [0.600, 0.600, 0.092], [0.700, 0.199, 0.199], [0.801, 0.300, 0.801], [0.801, 0.801, 0.300], [0.908, 0.400, 0.400]]}



Entry 18:
{"formula": "Mg4CrAs", "functional": "PBEsol", "state": "relaxed", "dos_at_fermi_per_ev_cell": 2.698, "total_magnetization_mub_per_atom": 0.7164, "spacegroup": "F-43m (216)", "e_form_mev_per_atom": 431, "e_tot_ev_per_atom": -3.27, "lattice_angstrom": [[0.000, 3.969, 3.969], [3.969, 0.000, 3.969], [3.969, 3.969, 0.000]], "species": ["Mg", "Mg", "Mg", "Mg", "Cr", "As"], "frac_coords": [[0.125, 0.125, 0.125], [0.125, 0.125, 0.625], [0.125, 0.625, 0.125], [0.625, 0.125, 0.125], [0.750, 0.750, 0.750], [0.500, 0.500, 0.500]]}



Entry 19:
{"formula": "K3FeF6", "functional": "PBEsol", "state": "relaxed", "dos_at_fermi_per_ev_cell": 11.376, "total_magnetization_mub_per_atom": 0.1000, "spacegroup": "Fm-3m (225)", "e_tot_ev_per_atom": -4.89, "lattice_angstrom": [[0.000, 4.291, 4.291], [4.291, 0.000, 4.291], [4.291, 4.291, 0.000]], "species": ["K", "K", "K", "Fe", "F", "F", "F", "F", "F", "F"], "frac_coords": [[0.000, 0.000, 0.000], [0.250, 0.250, 0.250], [0.750, 0.750, 0.750], [0.500, 0.500, 0.500], [0.284, 0.284, 0.716], [0.284, 0.716, 0.284], [0.284, 0.716, 0.716], [0.716, 0.284, 0.284], [0.716, 0.284, 0.716], [0.716, 0.716, 0.284]]}



Entry 20:
{"formula": "SrCa3", "functional": "PBEsol", "state": "relaxed", "dos_at_fermi_per_ev_cell": 5.211, "total_magnetization_mub_per_atom": 0.0006, "spacegroup": "Cmmm (65)", "e_form_mev_per_atom": 11, "e_tot_ev_per_atom": -2.05, "relative_energy_mev_per_atom": 0, "lattice_angstrom": [[2.784, -2.792, 0.000], [2.784, 2.792, 0.000], [0.000, 0.000, 11.084]], "species": ["Sr", "Ca", "Ca", "Ca"], "frac_coords": [[0.000, 0.000, 0.000], [0.000, 0.000, 0.500], [0.500, 0.500, 0.262], [0.500, 0.500, 0.738]]}